First-principles (PBE-GGA) data for crystalline YBi2Pb at its relaxed geometry, as listed in Alexandria.

```
4
Lattice="4.456 0.000 0.000 2.228 3.859 0.000 2.228 1.286 7.922" Properties=species:S:1:pos:R:3 pbc="T T T"
Bi 6.684 3.859 6.053
Bi 2.228 1.286 1.869
Pb 4.456 2.573 3.961
Y 0.000 0.000 0.000
```

Computed properties:
DFT total energy (eV/atom): -4.780
Calculated volume (Å³/f.u.): 136.2
Total magnetic moment (μB per formula unit): 0.00


First-principles (PBE-GGA) data for crystalline PrDyHgRu at its relaxed geometry, as listed in Alexandria.

```
4
Lattice="-0.603 3.736 3.468 1.353 -0.792 4.888 4.109 2.384 1.944" Properties=species:S:1:pos:R:3 pbc="T T T"
Pr 1.215 1.332 2.575
Ru 0.000 0.000 0.000
Hg 2.429 2.664 5.150
Dy 3.644 3.996 7.725
```

Computed properties:
DFT total energy (eV/atom): -5.012
Calculated volume (Å³/f.u.): 95.6
Total magnetic moment (μB per formula unit): 0.00


First-principles (PBE-GGA) data for crystalline Pr6DyPb10 at its relaxed geometry, as listed in Alexandria.

```
17
Lattice="6.611 0.000 0.000 0.000 8.347 -4.819 0.000 0.000 9.638" Properties=species:S:1:pos:R:3 pbc="T T T"
Dy 3.306 0.000 0.000
Pb 5.280 2.140 -1.236
Pb 3.306 5.565 0.000
Pb 3.306 2.782 4.819
Pr 4.862 5.102 -2.946
Pb 0.000 5.565 0.000
Pr 4.862 0.000 5.892
Pb 1.332 0.000 7.167
Pr 1.749 5.102 2.946
Pb 5.280 0.000 2.471
Pb 5.280 6.207 3.584
Pb 0.000 2.782 4.819
Pb 1.332 6.207 -3.584
Pb 1.332 2.140 1.236
Pr 1.749 3.245 -1.873
Pr 4.862 3.245 1.873
Pr 1.749 0.000 3.747
```

Computed properties:
DFT total energy (eV/atom): -4.554
Calculated volume (Å³/f.u.): 531.9
Total magnetic moment (μB per formula unit): 0.00


First-principles (PBE-GGA) data for crystalline BeInAs2 at its relaxed geometry, as listed in Alexandria.

```
4
Lattice="-3.980 1.285 3.252 2.974 -3.127 1.773 1.479 1.809 3.521" Properties=species:S:1:pos:R:3 pbc="T T T"
As -1.251 1.547 3.386
Be 2.226 -0.659 2.647
In -0.503 -0.921 2.513
As 0.000 0.000 0.000
```

Computed properties:
DFT total energy (eV/atom): -3.558
Calculated volume (Å³/f.u.): 79.0
Total magnetic moment (μB per formula unit): 0.00


First-principles (PBE-GGA) data for crystalline Dy2CuNi12P3 at its relaxed geometry, as listed in Alexandria.

```
18
Lattice="6.002 -1.377 -0.977 1.767 5.899 -0.977 1.767 1.029 5.890" Properties=species:S:1:pos:R:3 pbc="T T T"
Cu 0.000 0.000 0.000
Dy 6.263 3.646 2.586
Ni 4.528 2.636 4.532
Ni 4.758 5.261 3.732
P 3.001 -0.688 -0.488
Ni 2.823 4.156 2.948
Dy 3.273 1.905 1.351
Ni 5.008 2.915 -0.595
Ni 5.008 0.402 2.948
Ni 6.713 1.395 0.989
Ni 6.925 1.539 3.732
Ni 4.778 0.290 0.205
Ni 6.925 4.031 0.219
P 0.884 0.514 2.945
P 0.884 2.950 -0.488
Ni 2.612 4.012 0.205
Ni 2.612 1.520 3.718
Ni 4.528 5.149 0.989
```

Computed properties:
DFT total energy (eV/atom): -5.631
Calculated volume (Å³/f.u.): 239.7
Total magnetic moment (μB per formula unit): 0.00


First-principles (PBE-GGA) data for crystalline CrB3P at its relaxed geometry, as listed in Alexandria.

```
5
Lattice="-3.409 -1.173 1.448 1.384 -3.615 0.329 1.248 0.805 3.590" Properties=species:S:1:pos:R:3 pbc="T T T"
B -1.704 -0.586 0.724
P -0.389 -1.992 2.684
B 0.624 0.402 1.795
Cr 0.000 0.000 0.000
B 0.692 -1.808 0.165
```

Computed properties:
DFT total energy (eV/atom): -5.459
Calculated volume (Å³/f.u.): 58.6
Total magnetic moment (μB per formula unit): 0.00


First-principles (PBE-GGA) data for crystalline Si2SbP at its relaxed geometry, as listed in Alexandria.

```
4
Lattice="6.789 0.028 0.017 5.785 3.552 0.017 5.785 1.647 3.147" Properties=species:S:1:pos:R:3 pbc="T T T"
Si 18.125 5.161 3.141
Sb 13.769 3.920 2.386
Si 9.414 2.680 1.631
P 4.590 1.307 0.795
```

Computed properties:
Raw formation energy (eV/atom): 0.25
Calculated volume (Å³/f.u.): 75.0
Total magnetic moment (μB per formula unit): 0.00


First-principles (PBE-GGA) data for crystalline MnRe2P at its relaxed geometry, as listed in Alexandria.

```
4
Lattice="3.803 0.000 0.000 0.000 2.773 0.006 0.000 1.189 5.174" Properties=species:S:1:pos:R:3 pbc="T T T"
Mn 1.902 1.386 0.003
Re 0.000 2.698 1.348
Re 0.000 1.264 3.832
P 1.902 1.981 2.590
```

Computed properties:
DFT total energy (eV/atom): -9.765
Calculated volume (Å³/f.u.): 54.5
Total magnetic moment (μB per formula unit): 1.57


Q: Number 3 is which compound?
A: Pr6DyPb10